[1]
Material: DyLuScTl
Method: DFT, GGA-PBE
State: optimized geometry

The structure in POSCAR format:
```
DyLuScTl
1.0
5.305 0.000 0.000
2.653 4.595 0.000
2.653 1.532 4.332
Sc Dy Tl Lu
1 1 1 1
Direct
0.000 0.000 0.000
0.500 0.500 0.500
0.250 0.250 0.250
0.750 0.750 0.750
```

Calculated values
ρ (g/cm³): 9.23
Raw total energy (eV/atom): -4.48

***

[2]
Material: Rb2PrGe2S6
Method: DFT, GGA-PBE
State: optimized geometry

The structure in POSCAR format:
```
Rb2PrGe2S6
1.0
7.503 0.000 0.000
-3.751 5.666 0.283
0.000 -2.927 7.938
Rb S Ge Pr
2 6 2 1
Direct
0.307 0.613 0.871
0.693 0.387 0.129
0.715 0.922 0.233
0.244 0.489 0.457
0.756 0.511 0.543
0.207 0.922 0.233
0.285 0.078 0.767
0.793 0.078 0.767
0.042 0.083 0.368
0.958 0.917 0.632
0.500 0.000 0.500
```

Calculated values
Formation energy (no corrections) (eV per atom): -0.90
ρ (g/cm³): 3.14
Raw total energy (eV/atom): -4.60